Record 1
SrAlRe2 | PBE | optimized geometry

```
data_SrAlRe2
_chemical_formula_sum 'Sr1 Al1 Re2'
_cell_length_a 3.138
_cell_length_b 3.138
_cell_length_c 7.992
_cell_angle_alpha 90.00
_cell_angle_beta 90.00
_cell_angle_gamma 90.00
_symmetry_space_group_name_H-M 'P 1'
_symmetry_Int_Tables_number 1
loop_
_symmetry_equiv_pos_as_xyz
'x,y,z'
loop_
_atom_site_label
_atom_site_type_symbol
_atom_site_fract_x
_atom_site_fract_y
_atom_site_fract_z
Sr1 Sr 0.000 0.000 0.493
Al1 Al 0.500 0.500 0.810
Re1 Re 0.500 0.500 0.182
Re2 Re 0.000 0.000 0.015
```

* ΔH_f (0 K): 217 meV/atom
* DOS(E_F): 0.963 states/eV/atom
* theoretical density: 10.28 g/cm3

=====

Record 2
SrTiAl2Re | PBE | optimized geometry

```
data_SrTiAl2Re
_chemical_formula_sum 'Sr1 Ti1 Al2 Re1'
_cell_length_a 5.083
_cell_length_b 4.595
_cell_length_c 5.083
_cell_angle_alpha 90.00
_cell_angle_beta 90.00
_cell_angle_gamma 90.00
_symmetry_space_group_name_H-M 'P 1'
_symmetry_Int_Tables_number 1
loop_
_symmetry_equiv_pos_as_xyz
'x,y,z'
loop_
_atom_site_label
_atom_site_type_symbol
_atom_site_fract_x
_atom_site_fract_y
_atom_site_fract_z
Re1 Re 0.000 0.500 0.000
Ti1 Ti 0.000 0.000 0.000
Al1 Al 0.500 0.000 0.000
Al2 Al 0.000 0.000 0.500
Sr1 Sr 0.500 0.500 0.500
```

* ΔH_f (0 K): 586 meV/atom
* DOS(E_F): 0.847 states/eV/atom
* theoretical density: 5.25 g/cm3

=====

Record 3
SrAl2VRe | PBE | optimized geometry

```
data_SrAl2VRe
_chemical_formula_sum 'Sr1 Al2 V1 Re1'
_cell_length_a 4.991
_cell_length_b 4.402
_cell_length_c 4.991
_cell_angle_alpha 90.00
_cell_angle_beta 90.00
_cell_angle_gamma 90.00
_symmetry_space_group_name_H-M 'P 1'
_symmetry_Int_Tables_number 1
loop_
_symmetry_equiv_pos_as_xyz
'x,y,z'
loop_
_atom_site_label
_atom_site_type_symbol
_atom_site_fract_x
_atom_site_fract_y
_atom_site_fract_z
Al1 Al 0.500 0.000 0.000
Al2 Al 0.000 0.000 0.500
Sr1 Sr 0.000 0.000 0.000
Re1 Re 0.500 0.500 0.500
V1 V 0.000 0.500 0.000
```

* ΔH_f (0 K): 2761 meV/atom
* DOS(E_F): 1.935 states/eV/atom
* theoretical density: 5.74 g/cm3

=====

Record 4
TaAl2Re | PBE | optimized geometry

```
data_TaAl2Re
_chemical_formula_sum 'Ta1 Al2 Re1'
_cell_length_a 2.776
_cell_length_b 2.776
_cell_length_c 8.825
_cell_angle_alpha 90.00
_cell_angle_beta 90.00
_cell_angle_gamma 108.40
_symmetry_space_group_name_H-M 'P 1'
_symmetry_Int_Tables_number 1
loop_
_symmetry_equiv_pos_as_xyz
'x,y,z'
loop_
_atom_site_label
_atom_site_type_symbol
_atom_site_fract_x
_atom_site_fract_y
_atom_site_fract_z
Al1 Al 0.500 0.500 0.261
Al2 Al 0.000 0.000 0.999
Re1 Re 0.000 0.000 0.494
Ta1 Ta 0.500 0.500 0.745
```

* ΔH_f (0 K): -13 meV/atom
* offset from the most stable computed form: 292 meV/atom
* DOS(E_F): 0.693 states/eV/atom
* theoretical density: 10.83 g/cm3

=====

Record 5
Ta2AlRe | PBE | optimized geometry

```
data_Ta2AlRe
_chemical_formula_sum 'Ta2 Al1 Re1'
_cell_length_a 4.511
_cell_length_b 2.784
_cell_length_c 5.391
_cell_angle_alpha 78.46
_cell_angle_beta 90.00
_cell_angle_gamma 90.00
_symmetry_space_group_name_H-M 'P 1'
_symmetry_Int_Tables_number 1
loop_
_symmetry_equiv_pos_as_xyz
'x,y,z'
loop_
_atom_site_label
_atom_site_type_symbol
_atom_site_fract_x
_atom_site_fract_y
_atom_site_fract_z
Ta1 Ta 0.000 0.988 0.994
Ta2 Ta 0.000 0.512 0.506
Al1 Al 0.500 0.250 0.250
Re1 Re 0.500 0.750 0.750
```

* ΔH_f (0 K): -142 meV/atom
* DOS(E_F): 0.695 states/eV/atom
* theoretical density: 14.40 g/cm3

=====

Record 6
Ta2AlRe | PBE | optimized geometry

```
data_Ta2AlRe
_chemical_formula_sum 'Ta2 Al1 Re1'
_cell_length_a 2.807
_cell_length_b 2.807
_cell_length_c 8.464
_cell_angle_alpha 90.00
_cell_angle_beta 90.00
_cell_angle_gamma 90.00
_symmetry_space_group_name_H-M 'P 1'
_symmetry_Int_Tables_number 1
loop_
_symmetry_equiv_pos_as_xyz
'x,y,z'
loop_
_atom_site_label
_atom_site_type_symbol
_atom_site_fract_x
_atom_site_fract_y
_atom_site_fract_z
Re1 Re 0.500 0.500 0.733
Al1 Al 0.000 0.000 0.514
Ta1 Ta 0.000 0.000 0.988
Ta2 Ta 0.500 0.500 0.265
```

* ΔH_f (0 K): 31 meV/atom
* DOS(E_F): 0.739 states/eV/atom
* theoretical density: 14.32 g/cm3

=====

Record 7
TaAl2Re | PBE | optimized geometry

```
data_TaAl2Re
_chemical_formula_sum 'Ta1 Al2 Re1'
_cell_length_a 4.449
_cell_length_b 2.777
_cell_length_c 5.104
_cell_angle_alpha 81.85
_cell_angle_beta 90.00
_cell_angle_gamma 90.00
_symmetry_space_group_name_H-M 'P 1'
_symmetry_Int_Tables_number 1
loop_
_symmetry_equiv_pos_as_xyz
'x,y,z'
loop_
_atom_site_label
_atom_site_type_symbol
_atom_site_fract_x
_atom_site_fract_y
_atom_site_fract_z
Al1 Al 0.500 0.165 0.264
Al2 Al 0.000 0.112 0.993
Ta1 Ta 0.500 0.705 0.760
Re1 Re 0.000 0.517 0.483
```

* ΔH_f (0 K): -169 meV/atom
* offset from the most stable computed form: 137 meV/atom
* DOS(E_F): 0.532 states/eV/atom
* theoretical density: 11.20 g/cm3

=====

Record 8
TaAl2Re | PBE | optimized geometry

```
data_TaAl2Re
_chemical_formula_sum 'Ta1 Al2 Re1'
_cell_length_a 2.915
_cell_length_b 2.915
_cell_length_c 7.361
_cell_angle_alpha 90.00
_cell_angle_beta 90.00
_cell_angle_gamma 90.00
_symmetry_space_group_name_H-M 'P 1'
_symmetry_Int_Tables_number 1
loop_
_symmetry_equiv_pos_as_xyz
'x,y,z'
loop_
_atom_site_label
_atom_site_type_symbol
_atom_site_fract_x
_atom_site_fract_y
_atom_site_fract_z
Re1 Re 0.500 0.500 0.250
Ta1 Ta 0.500 0.500 0.750
Al1 Al 0.000 0.000 0.023
Al2 Al 0.000 0.000 0.477
```

* ΔH_f (0 K): -74 meV/atom
* offset from the most stable computed form: 232 meV/atom
* DOS(E_F): 1.085 states/eV/atom
* theoretical density: 11.18 g/cm3

=====

Record 9
TaAlRe3 | PBE | optimized geometry

```
data_TaAlRe3
_chemical_formula_sum 'Ta1 Al1 Re3'
_cell_length_a 4.763
_cell_length_b 4.763
_cell_length_c 4.763
_cell_angle_alpha 90.00
_cell_angle_beta 90.00
_cell_angle_gamma 90.00
_symmetry_space_group_name_H-M 'P 1'
_symmetry_Int_Tables_number 1
loop_
_symmetry_equiv_pos_as_xyz
'x,y,z'
loop_
_atom_site_label
_atom_site_type_symbol
_atom_site_fract_x
_atom_site_fract_y
_atom_site_fract_z
Re1 Re 0.000 0.000 0.500
Re2 Re 0.500 0.000 0.000
Re3 Re 0.000 0.500 0.000
Ta1 Ta 0.000 0.000 0.000
Al1 Al 0.500 0.500 0.500
```

* ΔH_f (0 K): 2277 meV/atom
* offset from the most stable computed form: 887 meV/atom
* DOS(E_F): 1.080 states/eV/atom
* theoretical density: 11.78 g/cm3

=====

Record 10
TaAl2Re | PBE | optimized geometry

```
data_TaAl2Re
_chemical_formula_sum 'Ta1 Al2 Re1'
_cell_length_a 2.779
_cell_length_b 4.095
_cell_length_c 5.518
_cell_angle_alpha 90.00
_cell_angle_beta 90.00
_cell_angle_gamma 90.00
_symmetry_space_group_name_H-M 'P 1'
_symmetry_Int_Tables_number 1
loop_
_symmetry_equiv_pos_as_xyz
'x,y,z'
loop_
_atom_site_label
_atom_site_type_symbol
_atom_site_fract_x
_atom_site_fract_y
_atom_site_fract_z
Al1 Al 0.000 0.000 0.489
Al2 Al 0.000 0.000 0.011
Re1 Re 0.500 0.500 0.250
Ta1 Ta 0.500 0.500 0.750
```

* ΔH_f (0 K): -83 meV/atom
* offset from the most stable computed form: 222 meV/atom
* DOS(E_F): 0.680 states/eV/atom
* theoretical density: 11.13 g/cm3

=====

Record 11
TaAl2Re | PBE | optimized geometry

```
data_TaAl2Re
_chemical_formula_sum 'Ta1 Al2 Re1'
_cell_length_a 4.848
_cell_length_b 4.848
_cell_length_c 4.913
_cell_angle_alpha 81.85
_cell_angle_beta 81.85
_cell_angle_gamma 33.49
_symmetry_space_group_name_H-M 'P 1'
_symmetry_Int_Tables_number 1
loop_
_symmetry_equiv_pos_as_xyz
'x,y,z'
loop_
_atom_site_label
_atom_site_type_symbol
_atom_site_fract_x
_atom_site_fract_y
_atom_site_fract_z
Ta1 Ta 0.251 0.251 0.248
Al1 Al 0.002 0.002 0.993
Al2 Al 0.752 0.752 0.752
Re1 Re 0.495 0.495 0.507
```

* ΔH_f (0 K): -104 meV/atom
* offset from the most stable computed form: 202 meV/atom
* DOS(E_F): 0.479 states/eV/atom
* theoretical density: 11.09 g/cm3

=====

Record 12
TaAlRe | PBE | optimized geometry

```
data_TaAlRe
_chemical_formula_sum 'Ta1 Al1 Re1'
_cell_length_a 5.044
_cell_length_b 5.044
_cell_length_c 5.044
_cell_angle_alpha 142.12
_cell_angle_beta 142.12
_cell_angle_gamma 54.64
_symmetry_space_group_name_H-M 'P 1'
_symmetry_Int_Tables_number 1
loop_
_symmetry_equiv_pos_as_xyz
'x,y,z'
loop_
_atom_site_label
_atom_site_type_symbol
_atom_site_fract_x
_atom_site_fract_y
_atom_site_fract_z
Al1 Al 0.994 0.994 0.000
Re1 Re 0.330 0.330 0.000
Ta1 Ta 0.676 0.676 0.000
```

* ΔH_f (0 K): -235 meV/atom
* offset from the most stable computed form: 0 meV/atom
* DOS(E_F): 1.098 states/eV/atom
* theoretical density: 13.62 g/cm3

=====

Record 13
TaAlRe | PBE | optimized geometry

```
data_TaAlRe
_chemical_formula_sum 'Ta1 Al1 Re1'
_cell_length_a 6.430
_cell_length_b 6.430
_cell_length_c 6.430
_cell_angle_alpha 154.85
_cell_angle_beta 154.85
_cell_angle_gamma 35.86
_symmetry_space_group_name_H-M 'P 1'
_symmetry_Int_Tables_number 1
loop_
_symmetry_equiv_pos_as_xyz
'x,y,z'
loop_
_atom_site_label
_atom_site_type_symbol
_atom_site_fract_x
_atom_site_fract_y
_atom_site_fract_z
Ta1 Ta 0.664 0.664 0.000
Al1 Al 0.994 0.994 0.000
Re1 Re 0.342 0.342 0.000
```

* ΔH_f (0 K): 27 meV/atom
* offset from the most stable computed form: 262 meV/atom
* DOS(E_F): 1.169 states/eV/atom
* theoretical density: 13.65 g/cm3

=====

Record 14
Ta2AlRe | PBE | optimized geometry

```
data_Ta2AlRe
_chemical_formula_sum 'Ta2 Al1 Re1'
_cell_length_a 4.536
_cell_length_b 2.821
_cell_length_c 5.296
_cell_angle_alpha 79.67
_cell_angle_beta 90.00
_cell_angle_gamma 90.00
_symmetry_space_group_name_H-M 'P 1'
_symmetry_Int_Tables_number 1
loop_
_symmetry_equiv_pos_as_xyz
'x,y,z'
loop_
_atom_site_label
_atom_site_type_symbol
_atom_site_fract_x
_atom_site_fract_y
_atom_site_fract_z
Ta1 Ta 0.000 0.964 0.978
Ta2 Ta 0.500 0.228 0.262
Re1 Re 0.500 0.715 0.764
Al1 Al 0.000 0.592 0.495
```

* ΔH_f (0 K): -183 meV/atom
* DOS(E_F): 0.349 states/eV/atom
* theoretical density: 14.32 g/cm3

=====

Record 15
Ta2AlRe | PBE | optimized geometry

```
data_Ta2AlRe
_chemical_formula_sum 'Ta2 Al1 Re1'
_cell_length_a 3.500
_cell_length_b 4.379
_cell_length_c 6.117
_cell_angle_alpha 44.71
_cell_angle_beta 90.00
_cell_angle_gamma 90.00
_symmetry_space_group_name_H-M 'P 1'
_symmetry_Int_Tables_number 1
loop_
_symmetry_equiv_pos_as_xyz
'x,y,z'
loop_
_atom_site_label
_atom_site_type_symbol
_atom_site_fract_x
_atom_site_fract_y
_atom_site_fract_z
Ta1 Ta 0.000 0.000 0.000
Ta2 Ta 0.500 0.500 0.000
Al1 Al 0.500 0.500 0.500
Re1 Re 0.000 0.000 0.500
```

* ΔH_f (0 K): -146 meV/atom
* DOS(E_F): 0.624 states/eV/atom
* theoretical density: 14.48 g/cm3